Version w
DFT (GGA-PBE) results for crystalline AlHgBi3 at its relaxed geometry.

Cell and atoms, written as POSCAR:
```
AlHgBi3
1.0
5.751 0.000 0.000
0.000 5.751 0.000
0.000 0.000 5.751
Hg Bi Al
1 3 1
Direct
0.000 0.000 0.000
0.500 0.000 0.000
0.000 0.500 0.000
0.000 0.000 0.500
0.500 0.500 0.500
```

Computed properties:
The value obtained for the density of states at the Fermi level is 5.010 states/eV per cell. The spin magnetization comes out at 0.0 μB per cell.


Version x
DFT (GGA-PBE) results for crystalline AlHgBi3 at its relaxed geometry.

Cell and atoms, written as POSCAR:
```
AlHgBi3
1.0
-2.466 -3.356 3.636
-0.529 -3.861 -3.921
4.920 -2.097 1.401
Bi Al Hg
3 1 1
Direct
0.000 0.500 0.000
0.500 0.000 0.000
0.000 0.000 0.500
0.000 0.000 0.000
0.500 0.500 0.500
```

Computed properties:
The value obtained for the density of states at the Fermi level is 2.676 states/eV per cell. The spin magnetization comes out at 0.0 μB per cell.


Of them, version w has the lowest stability.


Version w
DFT (GGA-PBE) results for crystalline AlBiI3 at its relaxed geometry.

Cell and atoms, written as POSCAR:
```
AlBiI3
1.0
5.595 0.000 0.000
0.000 5.595 0.000
0.000 0.000 5.595
I Bi Al
3 1 1
Direct
0.000 0.000 0.500
0.500 0.000 0.000
0.000 0.500 0.000
0.500 0.500 0.500
0.000 0.000 0.000
```

Computed properties:
The value obtained for the density of states at the Fermi level is 4.532 states/eV per cell. The spin magnetization comes out at 0.0 μB per cell.


Version x
DFT (GGA-PBE) results for crystalline AlBiI3 at its relaxed geometry.

Cell and atoms, written as POSCAR:
```
AlBiI3
1.0
6.251 0.000 0.000
0.000 6.251 0.000
0.000 0.000 6.251
I Bi Al
3 1 1
Direct
0.000 0.000 0.500
0.000 0.500 0.000
0.500 0.000 0.000
0.000 0.000 0.000
0.500 0.500 0.500
```

Computed properties:
The value obtained for the density of states at the Fermi level is 2.484 states/eV per cell. The spin magnetization comes out at 0.0 μB per cell.


Of them, version w has the lowest stability.


Version w
DFT (GGA-PBE) results for crystalline AlBi3I at its relaxed geometry.

Cell and atoms, written as POSCAR:
```
AlBi3I
1.0
-3.563 0.934 4.702
3.344 -3.713 3.272
3.435 4.584 1.692
I Bi Al
1 3 1
Direct
0.000 0.000 0.000
0.000 0.000 0.500
0.500 0.000 0.000
0.000 0.500 0.000
0.500 0.500 0.500
```

Computed properties:
The value obtained for the density of states at the Fermi level is 8.514 states/eV per cell. The spin magnetization comes out at 0.0 μB per cell.


Version x
DFT (GGA-PBE) results for crystalline AlBi3I at its relaxed geometry.

Cell and atoms, written as POSCAR:
```
AlBi3I
1.0
5.565 0.000 0.000
0.000 5.565 0.000
0.000 0.000 5.565
I Al Bi
1 1 3
Direct
0.500 0.500 0.500
0.000 0.000 0.000
0.000 0.500 0.000
0.500 0.000 0.000
0.000 0.000 0.500
```

Computed properties:
The value obtained for the density of states at the Fermi level is 5.758 states/eV per cell. The spin magnetization comes out at 0.0 μB per cell.


Of them, version w has the lowest stability.


Version w
DFT (GGA-PBE) results for crystalline AlBiI2N at its relaxed geometry.

Cell and atoms, written as POSCAR:
```
AlBiI2N
1.0
6.408 0.000 0.000
0.000 6.408 0.000
0.000 0.000 4.271
N I Bi Al
1 2 1 1
Direct
0.000 0.000 0.500
0.500 0.000 0.000
0.000 0.500 0.000
0.000 0.000 0.000
0.500 0.500 0.500
```

Computed properties:
The value obtained for the density of states at the Fermi level is 3.724 states/eV per cell. The spin magnetization comes out at 0.3 μB per cell.


Version x
DFT (GGA-PBE) results for crystalline AlBiI2N at its relaxed geometry.

Cell and atoms, written as POSCAR:
```
AlBiI2N
1.0
-4.910 0.978 -3.306
1.854 -4.100 -3.968
-1.729 -2.539 1.816
N Al I Bi
1 1 2 1
Direct
0.000 0.000 0.500
0.000 0.000 0.000
0.500 0.000 0.000
0.000 0.500 0.000
0.500 0.500 0.500
```

Computed properties:
The value obtained for the density of states at the Fermi level is 5.019 states/eV per cell. The spin magnetization comes out at 0.0 μB per cell.


Of them, version w has the lowest stability.